# 1
{"formula": "YAgSe2", "functional": "PBE", "state": "relaxed", "lattice_angstrom": [[5.7281, 0.0000, 0.0000], [0.0006, 5.7283, 0.0000], [2.8522, 2.8301, 6.0499]], "species": ["Y", "Y", "Ag", "Ag", "Se", "Se", "Se", "Se"], "fractional_positions": [[0.0000, 0.0000, 0.0000], [0.2513, 0.7416, 0.5018], [0.4987, 0.4907, 0.9985], [0.7536, 0.2395, 0.5073], [0.0110, 0.5095, 0.9767], [0.2421, 0.2310, 0.5252], [0.4874, 0.9795, 0.0261], [0.7646, 0.7566, 0.4753]], "total_energy_ev_per_atom": -5.24, "raw_formation_energy_kj_per_mol_atoms": -113.24}

# 2
{"formula": "Y2AgSe", "functional": "PBE", "state": "relaxed", "lattice_angstrom": [[1.9451, 1.1230, 8.6893], [-1.9451, 1.1230, 8.6893], [0.0000, -2.2460, 8.6893]], "species": ["Y", "Y", "Ag", "Se"], "fractional_positions": [[0.0000, 0.0000, 0.0000], [0.2177, 0.2177, 0.2177], [0.4719, 0.4719, 0.4719], [0.7314, 0.7314, 0.7314]], "total_energy_ev_per_atom": -5.31, "raw_formation_energy_kj_per_mol_atoms": -47.95}

# 3
{"formula": "YAg4Se", "functional": "PBE", "state": "relaxed", "lattice_angstrom": [[0.0000, 3.9632, 3.9632], [3.9632, 0.0000, 3.9632], [3.9632, 3.9632, 0.0000]], "species": ["Y", "Ag", "Ag", "Ag", "Ag", "Se"], "fractional_positions": [[0.0000, 0.0000, 0.0000], [0.1251, 0.6250, 0.6250], [0.6250, 0.1251, 0.6250], [0.6250, 0.6250, 0.1251], [0.6250, 0.6250, 0.6250], [0.2500, 0.2500, 0.2500]], "total_energy_ev_per_atom": -3.74, "raw_formation_energy_kj_per_mol_atoms": -17.06}

# 4
{"formula": "YAgSe2", "functional": "PBE", "state": "relaxed", "lattice_angstrom": [[3.6751, 0.0000, 0.0000], [0.0000, 3.6362, 0.0000], [-1.1604, 0.0000, 7.2509]], "species": ["Y", "Ag", "Se", "Se"], "fractional_positions": [[0.0000, 0.0000, 0.0000], [0.5000, 0.0000, 0.5000], [0.4544, 0.5000, 0.7790], [0.5456, 0.5000, 0.2210]], "total_energy_ev_per_atom": -5.04, "raw_formation_energy_kj_per_mol_atoms": -93.81}

# 5
{"formula": "Y2Ag2Se", "functional": "PBE", "state": "relaxed", "lattice_angstrom": [[7.8081, 0.0000, 0.0000], [0.0000, 7.8081, 0.0000], [0.0000, 0.0000, 3.9526]], "species": ["Y", "Y", "Y", "Y", "Ag", "Ag", "Ag", "Ag", "Se", "Se"], "fractional_positions": [[0.1701, 0.3299, 0.0000], [0.3299, 0.8299, 0.0000], [0.6701, 0.1701, 0.0000], [0.8299, 0.6701, 0.0000], [0.1257, 0.6257, 0.5000], [0.3743, 0.1257, 0.5000], [0.6257, 0.8743, 0.5000], [0.8743, 0.3743, 0.5000], [0.0000, 0.0000, 0.5000], [0.5000, 0.5000, 0.5000]], "total_energy_ev_per_atom": -4.90, "de_polymorph_kj_per_mol_atoms": 13.2, "raw_formation_energy_kj_per_mol_atoms": -45.77}

# 6
{"formula": "YAg5Se4", "functional": "PBE", "state": "relaxed", "lattice_angstrom": [[-2.1290, 3.8862, 7.3242], [2.1290, -3.8862, 7.3242], [2.1290, 3.8862, -7.3242]], "species": ["Y", "Ag", "Ag", "Ag", "Ag", "Ag", "Se", "Se", "Se", "Se"], "fractional_positions": [[0.0000, 0.0000, 0.0000], [0.0489, 0.3178, 0.7311], [0.4132, 0.6822, 0.7311], [0.5000, 0.0000, 0.5000], [0.5868, 0.3178, 0.2689], [0.9511, 0.6822, 0.2689], [0.2007, 0.2007, 0.0000], [0.2617, 0.5000, 0.7617], [0.7383, 0.5000, 0.2383], [0.7993, 0.7993, 0.0000]], "total_energy_ev_per_atom": -3.94, "raw_formation_energy_kj_per_mol_atoms": -45.60}

# 7
{"formula": "Y3AgSe", "functional": "PBE", "state": "relaxed", "lattice_angstrom": [[9.0519, 0.0000, 0.0000], [0.0000, 3.9150, 0.0000], [0.0000, 0.0000, 15.2607]], "species": ["Y", "Y", "Y", "Y", "Y", "Y", "Y", "Y", "Y", "Y", "Y", "Y", "Ag", "Ag", "Ag", "Ag", "Se", "Se", "Se", "Se"], "fractional_positions": [[0.0175, 0.2500, 0.1109], [0.1546, 0.2500, 0.5517], [0.1808, 0.7500, 0.2848], [0.3192, 0.2500, 0.7848], [0.3454, 0.7500, 0.0517], [0.4825, 0.7500, 0.6109], [0.5175, 0.2500, 0.3891], [0.6546, 0.2500, 0.9483], [0.6808, 0.7500, 0.2152], [0.8192, 0.2500, 0.7152], [0.8454, 0.7500, 0.4483], [0.9825, 0.7500, 0.8891], [0.0932, 0.7500, 0.6959], [0.4068, 0.2500, 0.1959], [0.5932, 0.7500, 0.8041], [0.9068, 0.2500, 0.3041], [0.1852, 0.2500, 0.9526], [0.3148, 0.7500, 0.4526], [0.6852, 0.2500, 0.5474], [0.8148, 0.7500, 0.0474]], "total_energy_ev_per_atom": -5.96, "de_polymorph_kj_per_mol_atoms": 0.0, "raw_formation_energy_kj_per_mol_atoms": -78.21}

# 8
{"formula": "YAgSe", "functional": "PBE", "state": "relaxed", "lattice_angstrom": [[2.3490, 1.3562, 7.9992], [-2.3490, 1.3562, 7.9992], [0.0000, -2.7124, 7.9992]], "species": ["Y", "Y", "Ag", "Ag", "Se", "Se"], "fractional_positions": [[0.0846, 0.0846, 0.0846], [0.9154, 0.9154, 0.9154], [0.3327, 0.3327, 0.3327], [0.6673, 0.6673, 0.6673], [0.2115, 0.2115, 0.2115], [0.7885, 0.7885, 0.7885]], "total_energy_ev_per_atom": -5.26, "de_polymorph_kj_per_mol_atoms": 0.0, "raw_formation_energy_kj_per_mol_atoms": -96.13}

# 9
{"formula": "YAgSe2", "functional": "PBE", "state": "relaxed", "lattice_angstrom": [[2.2481, -2.8537, 0.0000], [2.2481, 2.8537, 0.0000], [0.0000, 0.0000, 7.2356]], "species": ["Y", "Ag", "Se", "Se"], "fractional_positions": [[0.0000, 0.0000, 0.0000], [0.0000, 0.0000, 0.5000], [0.5000, 0.5000, 0.2431], [0.5000, 0.5000, 0.7569]], "total_energy_ev_per_atom": -4.96, "raw_formation_energy_kj_per_mol_atoms": -86.19}

# 10
{"formula": "Y2AgSe", "functional": "PBE", "state": "relaxed", "lattice_angstrom": [[-2.0815, 2.0815, 5.7199], [2.0815, -2.0815, 5.7199], [2.0815, 2.0815, -5.7199]], "species": ["Y", "Y", "Ag", "Se"], "fractional_positions": [[0.0000, 0.0000, 0.0000], [0.7500, 0.2500, 0.5000], [0.2500, 0.7500, 0.5000], [0.5000, 0.5000, 0.0000]], "total_energy_ev_per_atom": -5.50, "raw_formation_energy_kj_per_mol_atoms": -65.63}

# 11
{"formula": "YAgSe2", "functional": "PBE", "state": "relaxed", "lattice_angstrom": [[2.1269, 1.2280, 7.9717], [-2.1269, 1.2280, 7.9717], [0.0000, -2.4560, 7.9717]], "species": ["Y", "Ag", "Se", "Se"], "fractional_positions": [[0.0000, 0.0000, 0.0000], [0.5000, 0.5000, 0.5000], [0.3962, 0.3962, 0.3962], [0.6038, 0.6038, 0.6038]], "total_energy_ev_per_atom": -5.24, "raw_formation_energy_kj_per_mol_atoms": -112.85}

# 12
{"formula": "Y2AgSe", "functional": "PBE", "state": "relaxed", "lattice_angstrom": [[4.4293, 0.0000, 0.0000], [0.0000, 1.9498, 5.6772], [0.0000, -1.9498, 5.6772]], "species": ["Y", "Y", "Ag", "Se"], "fractional_positions": [[0.0000, 0.0000, 0.0000], [0.5000, 0.2680, 0.2680], [0.5000, 0.5300, 0.5300], [0.0000, 0.7365, 0.7365]], "total_energy_ev_per_atom": -5.67, "raw_formation_energy_kj_per_mol_atoms": -82.72}